Here is an optimized crystal structure of HoHfRh4 from the Alexandria database. Energies are from PBE.

POSCAR file:
```
HoHfRh4
1.0
-0.258 3.936 3.476
-0.882 -1.032 5.079
3.848 0.653 3.522
Rh Hf Ho
4 1 1
Direct
0.625 0.625 0.125
0.625 0.125 0.625
0.625 0.625 0.625
0.125 0.625 0.625
0.000 0.000 0.000
0.250 0.250 0.250
```

Space-group type: No. 216

Here is an optimized crystal structure of HoHfRuRh from the Alexandria database. Energies are from PBE.

POSCAR file:
```
HoHfRuRh
1.0
4.697 0.000 0.000
2.349 4.068 0.000
2.349 1.356 3.835
Rh Hf Ho Ru
1 1 1 1
Direct
0.250 0.250 0.250
0.500 0.500 0.500
0.000 0.000 0.000
0.750 0.750 0.750
```

Space-group type: No. 216

Here is an optimized crystal structure of HoHfSc2Rh4 from the Alexandria database. Energies are from PBE.

POSCAR file:
```
HoHfSc2Rh4
1.0
4.643 0.000 0.000
2.321 4.021 0.000
2.321 1.340 7.630
Ho Hf Sc Rh
1 1 2 4
Direct
0.000 0.000 0.000
0.500 0.500 0.500
0.751 0.751 0.747
0.249 0.249 0.253
0.380 0.380 0.860
0.871 0.871 0.387
0.129 0.129 0.613
0.620 0.620 0.140
```

Space-group type: No. 166

For each record above, in turn, the calculated energy of formation values are -0.651, -0.739, -0.961 eV/atom.